(1)
Below is a relaxed structure of Dy6SnSb2Se3, with properties calculated at the PBE level.

POSCAR file:
```
Dy6SnSb2Se3
1.0
4.2528 0.0000 0.0000
0.0000 8.4655 0.3364
-2.1264 -2.4080 8.9169
Dy Sb Se Sn
6 2 3 1
Cartesian
0.0000 6.2156 6.2490
2.1264 -0.2634 8.9545
0.0000 6.3209 0.2988
2.1264 -0.1581 3.0044
0.0000 1.8663 6.1214
2.1264 4.1911 3.1320
2.1264 4.0353 6.1665
0.0000 2.0221 3.0868
2.1264 4.2327 0.1682
0.0000 6.2421 3.2743
2.1264 -0.1846 5.9791
2.1264 0.0000 0.0000
```

The calculated density is 8056 kg/m³. As for the total energy: -66.8 eV per formula unit. The crystal system is monoclinic.

(2)
Below is a relaxed structure of Dy4SnSbSe2, with properties calculated at the PBE level.

POSCAR file:
```
Dy4SnSbSe2
1.0
-1.2112 -1.6965 -3.7099
7.0303 -0.7380 -1.9578
2.4885 -6.5768 2.1951
Dy Sn Sb Se
4 1 1 2
Cartesian
7.1841 -5.4925 0.1662
5.3246 -3.0170 -2.7993
2.9830 -5.9943 -0.6733
1.1236 -3.5188 -3.6389
2.9096 -1.2173 -2.8338
4.7594 -3.6574 0.1187
2.4885 -6.5768 2.1951
0.6387 -4.1367 -0.7574
```

The calculated density is 8033 kg/m³. As for the total energy: -44.3 eV per formula unit. The crystal system is monoclinic.

(3)
Below is a relaxed structure of Dy4SnSb2Se, with properties calculated at the PBE level.

POSCAR file:
```
Dy4SnSb2Se
1.0
-1.8616 1.8301 3.4200
-1.2421 -6.7719 2.9478
5.8628 -1.9676 4.2443
Sb Dy Se Sn
2 4 1 1
Cartesian
2.0006 -0.0688 3.8321
5.8628 -1.9676 4.2443
-0.4045 -4.6232 4.9603
-0.7251 -0.3874 5.2253
3.4843 -6.5220 5.3868
3.1637 -2.2862 5.6518
-1.5518 -2.4709 3.1839
2.3104 -4.3697 3.5961
```

The calculated density is 7943 kg/m³. As for the total energy: -43.5 eV per formula unit. The crystal system is monoclinic.

(4)
Below is a relaxed structure of Dy6Sn2SbSe3, with properties calculated at the PBE level.

POSCAR file:
```
Dy6Sn2SbSe3
1.0
4.2533 0.0000 0.0000
0.0000 8.4923 0.3277
-2.1267 -2.4265 8.9267
Se Dy Sb Sn
3 6 1 2
Cartesian
2.1267 -0.2135 6.0299
2.1267 4.2461 0.1639
0.0000 6.2793 3.2245
0.0000 6.1888 6.2130
0.0000 2.1711 0.0877
2.1267 4.1840 3.1372
0.0000 1.8818 6.1171
2.1267 3.8947 9.1666
2.1267 -0.1230 3.0414
2.1267 0.0000 0.0000
2.1267 4.0425 6.1618
0.0000 2.0232 3.0926
```

The calculated density is 8007 kg/m³. As for the total energy: -65.8 eV per formula unit. The crystal system is monoclinic.

(5)
Below is a relaxed structure of Dy6SbTe2Se3, with properties calculated at the PBE level.

POSCAR file:
```
Dy6SbTe2Se3
1.0
-3.4768 -2.3571 -0.0732
4.7295 -7.0023 0.8452
-0.1132 3.6398 8.7313
Te Dy Se Sb
2 6 3 1
Cartesian
0.9645 -1.5221 3.2034
0.1750 -4.1975 6.2999
3.2126 -4.9416 6.5360
3.4824 -5.1599 0.7496
0.5231 -4.6156 3.2251
-2.0732 -0.7780 2.9673
-2.3430 -0.5597 8.7537
0.6164 -1.1040 6.2781
3.3182 -5.0071 3.6295
-2.1788 -0.7125 5.8738
0.6263 -4.6797 0.3860
-1.7384 -1.1786 -0.0366
```

The calculated density is 8254 kg/m³. As for the total energy: -66.6 eV per formula unit. The crystal system is monoclinic.

(6)
Below is a relaxed structure of Dy6Sb2TeSe3, with properties calculated at the PBE level.

POSCAR file:
```
Dy6Sb2TeSe3
1.0
4.2188 0.0000 0.0000
0.0000 8.4655 0.2873
-2.1094 -2.4571 8.8960
Te Dy Se Sb
1 6 3 2
Cartesian
2.1094 0.0000 0.0000
0.0000 6.1671 0.2650
2.1094 -0.1587 8.9184
2.1094 -0.1961 3.1234
2.1094 4.1992 3.0830
0.0000 6.2046 6.0599
0.0000 1.8093 6.1004
2.1094 -0.2389 6.0127
2.1094 4.2328 0.1437
0.0000 6.2473 3.1707
2.1094 4.0162 6.1359
0.0000 1.9923 3.0474
```

The calculated density is 8197 kg/m³. As for the total energy: -67.2 eV per formula unit. The crystal system is monoclinic.

(7)
Below is a relaxed structure of Dy6Sb3TeSe2, with properties calculated at the PBE level.

POSCAR file:
```
Dy6Sb3TeSe2
1.0
-3.6551 -2.1898 0.4875
3.4338 -4.2694 6.5688
-2.0633 8.5065 3.8764
Se Dy Sb Te
2 6 3 1
Cartesian
-0.1606 1.0653 3.5810
-2.1239 0.9820 7.3516
-3.1297 3.0670 9.1759
0.8452 -1.0197 1.7567
-1.1683 -1.0378 5.4435
-1.1163 3.0851 5.4891
-2.8444 1.0556 2.2797
0.5599 0.9917 8.6529
-0.1106 -3.2296 3.5281
1.5916 -1.1424 6.8028
-3.8762 3.1897 4.1299
-1.8275 -1.0949 0.2437
```

The calculated density is 8095 kg/m³. As for the total energy: -66.6 eV per formula unit. The crystal system is monoclinic.

(8)
Below is a relaxed structure of Dy4SbTe2Se, with properties calculated at the PBE level.

POSCAR file:
```
Dy4SbTe2Se
1.0
4.2779 0.0000 0.0000
0.0000 7.5147 -0.1885
0.0000 2.6059 6.9366
Te Se Sb Dy
2 1 1 4
Cartesian
0.0000 2.6059 6.9366
2.1390 1.3030 3.4683
2.1390 3.7574 -0.0943
0.0000 5.0603 3.3741
2.1390 3.9939 5.1947
0.0001 7.4405 5.2114
2.1390 6.1267 1.5534
4.2779 2.6801 1.5367
```

The calculated density is 8158 kg/m³. As for the total energy: -43.4 eV per formula unit. The crystal system is monoclinic.

Going through the records in order, we get energy relative to the elements, uncorrected values of -1.376 -1.344 -1.175 -1.302 -1.508 -1.478 -1.373 -1.383 eV per atom.
Going through the records in order, we get calculated volume values of 324 217 228 326 320 321 333 225 Å³/f.u..